(1)
Compound: LiTaPd14
Source: Alexandria via LeMat-Bulk
Functional: GGA-PBE
Structure: optimized geometry

Cell and atoms, written as extended XYZ:
```
16
Lattice="5.609 0.000 0.000 0.000 5.609 0.000 0.000 0.000 7.785" Properties=species:S:1:pos:R:3 pbc="T T T"
Li 0.000 0.000 0.000
Ta 2.805 2.805 0.000
Pd 0.000 0.000 3.892
Pd 0.000 2.805 0.000
Pd 0.000 2.805 3.892
Pd 1.414 1.414 1.899
Pd 1.414 1.414 5.886
Pd 1.414 4.195 1.899
Pd 1.414 4.195 5.886
Pd 2.805 0.000 0.000
Pd 2.805 0.000 3.892
Pd 2.805 2.805 3.892
Pd 4.195 1.414 1.899
Pd 4.195 1.414 5.886
Pd 4.195 4.195 1.899
Pd 4.195 4.195 5.886
```

Results
- SG: No. 123
- DFT formation energy: -3.44 eV/f.u.
- Crystal system: tetragonal



(2)
Compound: Li2TaPd6
Source: Alexandria via LeMat-Bulk
Functional: GGA-PBE
Structure: optimized geometry

Cell and atoms, written as extended XYZ:
```
9
Lattice="4.005 -2.912 0.000 4.005 2.912 0.000 -3.256 0.000 5.715" Properties=species:S:1:pos:R:3 pbc="T T T"
Li 0.762 0.000 0.726
Li 3.992 0.000 4.990
Ta 4.005 0.000 0.000
Pd 2.456 1.569 1.412
Pd 0.409 0.000 3.097
Pd 2.298 1.569 4.304
Pd 2.456 -1.569 1.412
Pd 4.345 0.000 2.618
Pd 2.298 -1.569 4.304
```

Results
- SG: No. 12
- DFT formation energy: -2.34 eV/f.u.
- Crystal system: monoclinic



(3)
Compound: LiTa2Pd6
Source: Alexandria via LeMat-Bulk
Functional: GGA-PBE
Structure: optimized geometry

Cell and atoms, written as extended XYZ:
```
9
Lattice="6.826 -3.843 0.000 6.826 3.843 0.000 -0.476 0.000 2.749" Properties=species:S:1:pos:R:3 pbc="T T T"
Li 0.000 0.000 0.000
Ta 4.279 0.000 1.420
Ta 8.898 0.000 1.329
Pd 4.149 2.463 2.470
Pd 6.588 1.400 1.374
Pd 9.028 2.463 0.278
Pd 4.149 -2.463 2.470
Pd 6.588 -1.400 1.374
Pd 9.028 -2.463 0.278
```

Results
- SG: No. 12
- DFT formation energy: -2.30 eV/f.u.
- Crystal system: monoclinic